[1]
CaTmAlAu | PBE | relaxed

Properties
As for the density of states at the Fermi level: 3.58 states/eV/f.u. Its energy relative to the elements is -2.1 eV/f.u. As for the total magnetization: 0.0000 μB/atom.

a = 5.1111 Å, b = 5.1111 Å, c = 5.1111 Å
α = 60.00°, β = 60.00°, γ = 60.00°
Sites, in units of the cell vectors:
1 Ca 0.0000 0.0000 0.0000
2 Tm 0.5000 0.5000 0.5000
3 Al 0.7500 0.7500 0.7500
4 Au 0.2500 0.2500 0.2500

[2]
CaTmAl2Au5 | PBE | relaxed

Properties
As for the density of states at the Fermi level: 3.82 states/eV/f.u. Its energy relative to the elements is -5.2 eV/f.u. As for the total magnetization: 0.0000 μB/atom.

a = 4.5894 Å, b = 4.5894 Å, c = 8.6577 Å
α = 90.00°, β = 90.00°, γ = 90.00°
Sites, in units of the cell vectors:
1 Ca 0.0000 0.0000 0.0000
2 Tm 0.0000 0.0000 0.5000
3 Al 0.5000 0.5000 0.3538
4 Al 0.5000 0.5000 0.6462
5 Au 0.0000 0.5000 0.2343
6 Au 0.0000 0.5000 0.7657
7 Au 0.5000 0.0000 0.2343
8 Au 0.5000 0.0000 0.7657
9 Au 0.5000 0.5000 0.0000

[3]
Ca2YAl3Au12 | PBE | relaxed

Properties
As for the density of states at the Fermi level: 6.80 states/eV/f.u. Its energy relative to the elements is -4.3 eV/f.u. As for the total magnetization: 0.0000 μB/atom.

a = 8.1171 Å, b = 8.1171 Å, c = 8.1171 Å
α = 65.97°, β = 65.97°, γ = 65.97°
Sites, in units of the cell vectors:
1 Ca 0.0958 0.0958 0.0958
2 Ca 0.9042 0.9042 0.9042
3 Y 0.5000 0.5000 0.5000
4 Al 0.0000 0.5000 0.5000
5 Al 0.5000 0.0000 0.5000
6 Al 0.5000 0.5000 0.0000
7 Au 0.0995 0.6496 0.6496
8 Au 0.1550 0.1550 0.6242
9 Au 0.1550 0.6242 0.1550
10 Au 0.3504 0.3504 0.9005
11 Au 0.3504 0.9005 0.3504
12 Au 0.3758 0.8450 0.8450
13 Au 0.6242 0.1550 0.1550
14 Au 0.6496 0.0995 0.6496
15 Au 0.6496 0.6496 0.0995
16 Au 0.8450 0.3758 0.8450
17 Au 0.8450 0.8450 0.3758
18 Au 0.9005 0.3504 0.3504

[4]
CaY2AlAu4 | PBE | relaxed

Properties
As for the density of states at the Fermi level: 4.34 states/eV/f.u. Its energy relative to the elements is -6.0 eV/f.u. As for the total magnetization: 0.0000 μB/atom.

a = 8.6554 Å, b = 8.6554 Å, c = 8.6554 Å
α = 33.34°, β = 33.34°, γ = 33.34°
Sites, in units of the cell vectors:
1 Ca 0.0000 0.0000 0.0000
2 Y 0.2453 0.2453 0.2453
3 Y 0.7547 0.7547 0.7547
4 Al 0.5000 0.5000 0.5000
5 Au 0.1246 0.1246 0.1246
6 Au 0.3844 0.3844 0.3844
7 Au 0.6156 0.6156 0.6156
8 Au 0.8754 0.8754 0.8754

[5]
CaYAl2Au5 | PBE | relaxed

Properties
As for the density of states at the Fermi level: 3.70 states/eV/f.u. Its energy relative to the elements is -5.4 eV/f.u. As for the total magnetization: 0.0000 μB/atom.

a = 4.5832 Å, b = 4.5832 Å, c = 8.7363 Å
α = 90.00°, β = 90.00°, γ = 90.00°
Sites, in units of the cell vectors:
1 Ca 0.0000 0.0000 0.0000
2 Y 0.0000 0.0000 0.5000
3 Al 0.5000 0.5000 0.3541
4 Al 0.5000 0.5000 0.6459
5 Au 0.0000 0.5000 0.2317
6 Au 0.0000 0.5000 0.7683
7 Au 0.5000 0.0000 0.2317
8 Au 0.5000 0.0000 0.7683
9 Au 0.5000 0.5000 0.0000

[6]
Ca2AlZn6Au | PBE | relaxed

Properties
As for the density of states at the Fermi level: 4.84 states/eV/f.u. Its energy relative to the elements is -1.5 eV/f.u. As for the total magnetization: 0.0000 μB/atom.

a = 12.0525 Å, b = 12.0525 Å, c = 12.0525 Å
α = 31.18°, β = 31.18°, γ = 31.18°
Sites, in units of the cell vectors:
1 Ca 0.1387 0.1387 0.1387
2 Ca 0.3098 0.3098 0.3098
3 Ca 0.6902 0.6902 0.6902
4 Ca 0.8613 0.8613 0.8613
5 Al 0.4232 0.4232 0.4232
6 Al 0.5768 0.5768 0.5768
7 Zn 0.0397 0.6520 0.6520
8 Zn 0.1974 0.1974 0.7802
9 Zn 0.1974 0.7802 0.1974
10 Zn 0.2198 0.8026 0.8026
11 Zn 0.3480 0.3480 0.9603
12 Zn 0.3480 0.9603 0.3480
13 Zn 0.6520 0.0397 0.6520
14 Zn 0.6520 0.6520 0.0397
15 Zn 0.7802 0.1974 0.1974
16 Zn 0.8026 0.2198 0.8026
17 Zn 0.8026 0.8026 0.2198
18 Zn 0.9603 0.3480 0.3480
19 Au 0.0000 0.0000 0.0000
20 Au 0.5000 0.5000 0.5000

Values of VASP energy, in order: -0.2856 -0.2899 -0.2669 -0.3473 -0.3082 -0.1485, all in Ry per atom.
Values of ρ, in order: 7615 11363 10163 9834 10567 5555, all in kg/m3.